! ScSbMoO6, relaxed, DFT PBE+U; values from VASP
! Crystal system   trigonal
! Symmetry   P-31c, No. 163
! Total DFT energy (no corrections)   -64.20 eV per formula unit
&SYSTEM
  ibrav = 0, nat = 18, ntyp = 4
/
ATOMIC_SPECIES
Sc 44.96 Sc.upf
Sb 121.76 Sb.upf
Mo 95.94 Mo.upf
O 16.00 O.upf
CELL_PARAMETERS angstrom
5.368 0.000 0.000
-2.684 4.649 0.000
0.000 0.000 9.009
ATOMIC_POSITIONS angstrom
Sc 0.000 3.099 2.252
Sc 2.684 1.550 6.756
Sb 2.684 1.550 2.252
Sb 0.000 3.099 6.756
Mo 0.000 0.000 0.000
Mo 0.000 0.000 4.504
O 1.774 3.288 1.100
O -0.724 1.468 1.100
O 1.633 0.107 5.604
O 3.408 3.181 7.909
O 0.724 1.468 3.405
O -1.774 3.288 3.405
O 3.735 0.107 7.909
O 1.051 4.541 3.405
O 4.458 1.361 5.604
O -1.051 4.541 1.100
O 1.960 3.181 5.604
O 0.910 1.361 7.909